Computed, not measured: a relaxed structure of Y2CrBi at the PBE level of DFT.

Geometry as POSCAR:
```
Y2CrBi
1.0
8.1909 0.0000 0.0000
0.0000 8.1909 0.0000
0.0000 0.0000 6.0904
Y Cr Bi
8 4 4
Cartesian
1.5263 2.0477 0.7613
2.0477 5.6218 2.2839
2.0477 6.6646 5.3291
2.5692 2.0477 3.8065
5.6218 6.1432 3.8065
6.1432 1.5263 5.3291
6.1432 2.5692 2.2839
6.6646 6.1432 0.7613
0.0000 0.0000 0.0000
0.0000 4.0955 1.5226
4.0955 0.0000 4.5678
4.0955 4.0955 3.0452
0.0000 0.0000 3.0452
0.0000 4.0955 4.5678
4.0955 0.0000 1.5226
4.0955 4.0955 0.0000
```

Values from the calculation:
For the total energy, the calculation gives -98.15 eV for the cell shown. The formation enthalpy at 0 K is 183 kJ/mol of formula units. The value obtained for the density of states at the Fermi level is 1.46 states/eV per atom.

Computed, not measured: a relaxed structure of FeCoReSi at the PBE level of DFT.

Geometry as POSCAR:
```
FeCoReSi
1.0
5.8183 0.0000 0.0000
0.0000 5.8183 0.0000
0.0000 0.0000 5.8183
Fe Co Re Si
4 4 4 4
Cartesian
0.0000 0.0000 0.0000
0.0000 2.9091 2.9091
2.9091 0.0000 2.9091
2.9091 2.9091 0.0000
1.4546 1.4546 4.3637
1.4546 4.3637 1.4546
4.3637 1.4546 1.4546
4.3637 4.3637 4.3637
1.4546 1.4546 1.4546
1.4546 4.3637 4.3637
4.3637 1.4546 4.3637
4.3637 4.3637 1.4546
0.0000 0.0000 2.9091
0.0000 2.9091 0.0000
2.9091 0.0000 0.0000
2.9091 2.9091 2.9091
```

Values from the calculation:
For the total energy, the calculation gives -136.06 eV for the cell shown. The value obtained for the density of states at the Fermi level is 0.73 states/eV per atom. For the uncorrected formation energy, the calculation gives -56 kJ/mol of formula units.